[1]
A plane-wave DFT calculation with meta-GGA SCAN was carried out for a crystal of CdIn2Te relaxed with PBEsol.

The density of states at the Fermi level comes out at 1.33 states/eV/cell. The value obtained for the energy above the most stable polymorph in this dataset is 0.00 eV/f.u. Its uncorrected formation energy is -0.01 eV/atom. The density comes out at 7.31 Mg/m³. Its total energy is -33.6200 eV per atom. The total magnetic moment is 0.00 μB/atom.

a b c (Å): 6.5649 6.5649 6.5649
angles (deg): 144.25 139.47 55.13
Fractional positions:
Cd: 0.0000 0.0000 0.0000
In: 0.2140 0.7140 0.5000
In: 0.5089 0.5089 0.0000
Te: 0.7952 0.2952 0.5000



[2]
A plane-wave DFT calculation with meta-GGA SCAN was carried out for a crystal of Ni2AgHg relaxed with PBEsol.

The density of states at the Fermi level comes out at 1.30 states/eV/cell. As for the formation energy: 301 meV per atom. The density comes out at 12.54 Mg/m³. Its total energy is -32.6689 eV per atom. The total magnetic moment is 0.00 μB/atom.

a b c (Å): 2.9817 3.2352 5.8442
angles (deg): 90.00 90.00 90.00
Fractional positions:
Ni: 0.0000 0.0000 0.2431
Ni: 0.0000 0.0000 0.7569
Ag: 0.5000 0.5000 0.0000
Hg: 0.5000 0.5000 0.5000



[3]
A plane-wave DFT calculation with meta-GGA SCAN was carried out for a crystal of Ta3Te14Pd3 relaxed with PBEsol.

The density of states at the Fermi level comes out at 13.71 states/eV/cell. Its uncorrected formation energy is -0.35 eV/atom. The density comes out at 8.42 Mg/m³. Its total energy is -41.3325 eV per atom. The total magnetic moment is 0.00 μB/atom.

a b c (Å): 14.0282 3.7243 20.5902
angles (deg): 90.00 103.70 90.00
Fractional positions:
Ta: 0.0520 0.2500 0.3090
Ta: 0.3030 0.7500 0.0462
Ta: 0.4244 0.2500 0.6546
Ta: 0.5756 0.7500 0.3454
Ta: 0.6970 0.2500 0.9538
Ta: 0.9480 0.7500 0.6910
Te: 0.0548 0.7500 0.2056
Te: 0.0619 0.2500 0.6383
Te: 0.1080 0.2500 0.4532
Te: 0.1104 0.7500 0.9560
Te: 0.1468 0.7500 0.7761
Te: 0.1823 0.2500 0.0931
Te: 0.2085 0.7500 0.3449
Te: 0.2722 0.7500 0.6128
Te: 0.3189 0.2500 0.9459
Te: 0.3404 0.7500 0.1904
Te: 0.3759 0.2500 0.7714
Te: 0.3917 0.2500 0.5104
Te: 0.4343 0.2500 0.3513
Te: 0.4571 0.2500 0.0890
Te: 0.5429 0.7500 0.9110
Te: 0.5657 0.7500 0.6487
Te: 0.6083 0.7500 0.4896
Te: 0.6241 0.7500 0.2286
Te: 0.6596 0.2500 0.8096
Te: 0.6811 0.7500 0.0541
Te: 0.7278 0.2500 0.3872
Te: 0.7915 0.2500 0.6551
Te: 0.8177 0.7500 0.9069
Te: 0.8532 0.2500 0.2239
Te: 0.8896 0.2500 0.0440
Te: 0.8920 0.7500 0.5468
Te: 0.9381 0.7500 0.3617
Te: 0.9452 0.2500 0.7944
Pd: 0.1324 0.2500 0.8669
Pd: 0.2497 0.7500 0.4796
Pd: 0.4837 0.2500 0.2299
Pd: 0.5163 0.7500 0.7701
Pd: 0.7503 0.2500 0.5204
Pd: 0.8676 0.7500 0.1331



[4]
A plane-wave DFT calculation with meta-GGA SCAN was carried out for a crystal of Mg2B24C relaxed with PBEsol.

The density of states at the Fermi level comes out at 0.00 states/eV/cell. As for the formation energy: -176 meV per atom. The density comes out at 2.63 Mg/m³. Its total energy is -7.5228 eV per atom. The total magnetic moment is 0.00 μB/atom.

a b c (Å): 8.9317 8.9317 5.0648
angles (deg): 90.00 90.00 90.00
Fractional positions:
Mg: 0.0000 0.0000 0.0000
Mg: 0.0000 0.5000 0.2500
Mg: 0.5000 0.0000 0.7500
Mg: 0.5000 0.5000 0.5000
B: 0.0774 0.2410 0.9155
B: 0.0790 0.3261 0.5987
B: 0.0933 0.7696 0.0876
B: 0.0987 0.6941 0.4168
B: 0.1153 0.1287 0.6238
B: 0.1287 0.8847 0.3762
B: 0.1739 0.4210 0.9013
B: 0.1941 0.5987 0.0832
B: 0.2304 0.0933 0.9124
B: 0.2346 0.2516 0.4152
B: 0.2410 0.9226 0.0845
B: 0.2484 0.2654 0.0848
B: 0.2516 0.7654 0.5848
B: 0.2590 0.4226 0.5845
B: 0.2654 0.7516 0.9152
B: 0.2696 0.5933 0.4124
B: 0.3059 0.0987 0.5832
B: 0.3261 0.9210 0.4013
B: 0.3713 0.3847 0.8762
B: 0.3847 0.6287 0.1238
B: 0.4013 0.1941 0.9168
B: 0.4067 0.2696 0.5876
B: 0.4210 0.8261 0.0987
B: 0.4226 0.7410 0.4155
B: 0.5774 0.2590 0.4155
B: 0.5790 0.1739 0.0987
B: 0.5933 0.7304 0.5876
B: 0.5987 0.8059 0.9168
B: 0.6153 0.3713 0.1238
B: 0.6287 0.6153 0.8762
B: 0.6739 0.0790 0.4013
B: 0.6941 0.9013 0.5832
B: 0.7304 0.4067 0.4124
B: 0.7346 0.2484 0.9152
B: 0.7410 0.5774 0.5845
B: 0.7484 0.2346 0.5848
B: 0.7516 0.7346 0.0848
B: 0.7590 0.0774 0.0845
B: 0.7654 0.7484 0.4152
B: 0.7696 0.9067 0.9124
B: 0.8059 0.4013 0.0832
B: 0.8261 0.5790 0.9013
B: 0.8713 0.1153 0.3762
B: 0.8847 0.8713 0.6238
B: 0.9013 0.3059 0.4168
B: 0.9067 0.2304 0.0876
B: 0.9210 0.6739 0.5987
B: 0.9226 0.7590 0.9155
C: 0.0000 0.0000 0.5000
C: 0.5000 0.5000 0.0000



[5]
A plane-wave DFT calculation with meta-GGA SCAN was carried out for a crystal of KErP2S7 relaxed with PBEsol.

The density of states at the Fermi level comes out at 0.00 states/eV/cell. Its uncorrected formation energy is -1.05 eV/atom. The density comes out at 3.22 Mg/m³. Its total energy is -14.4009 eV per atom. The total magnetic moment is 0.00 μB/atom.

a b c (Å): 9.4613 12.1565 8.8365
angles (deg): 90.00 90.07 90.00
Fractional positions:
K: 0.1091 0.1917 0.3700
K: 0.1091 0.3083 0.8700
K: 0.8909 0.6917 0.1300
K: 0.8909 0.8083 0.6300
Er: 0.3594 0.6423 0.8977
Er: 0.3594 0.8577 0.3977
Er: 0.6406 0.1423 0.6023
Er: 0.6406 0.3577 0.1023
P: 0.2262 0.6054 0.5270
P: 0.2262 0.8946 0.0270
P: 0.3219 0.0354 0.6995
P: 0.3219 0.4646 0.1995
P: 0.6781 0.5354 0.8005
P: 0.6781 0.9646 0.3005
P: 0.7738 0.1054 0.9730
P: 0.7738 0.3946 0.4730
S: 0.1305 0.5573 0.7187
S: 0.1305 0.9427 0.2187
S: 0.1325 0.7130 0.3845
S: 0.1325 0.7870 0.8845
S: 0.1688 0.5317 0.0706
S: 0.1688 0.9683 0.5706
S: 0.2586 0.0526 0.9285
S: 0.2586 0.4474 0.4285
S: 0.3543 0.1953 0.6426
S: 0.3543 0.3047 0.1426
S: 0.4113 0.6790 0.5865
S: 0.4113 0.8210 0.0865
S: 0.4993 0.5570 0.1778
S: 0.4993 0.9430 0.6778
S: 0.5007 0.0570 0.3222
S: 0.5007 0.4430 0.8222
S: 0.5887 0.1790 0.9135
S: 0.5887 0.3210 0.4135
S: 0.6457 0.6953 0.8574
S: 0.6457 0.8047 0.3574
S: 0.7414 0.5526 0.5715
S: 0.7414 0.9474 0.0715
S: 0.8312 0.0317 0.4294
S: 0.8312 0.4683 0.9294
S: 0.8675 0.2130 0.1155
S: 0.8675 0.2870 0.6155
S: 0.8695 0.0573 0.7813
S: 0.8695 0.4427 0.2813



[6]
A plane-wave DFT calculation with meta-GGA SCAN was carried out for a crystal of BeCu2SN relaxed with PBEsol.

The density of states at the Fermi level comes out at 2.84 states/eV/cell. Its uncorrected formation energy is 0.44 eV/atom. The density comes out at 3.91 Mg/m³. Its total energy is -10.2916 eV per atom. The total magnetic moment is 0.00 μB/atom.

a b c (Å): 3.4915 3.4915 6.3433
angles (deg): 90.00 90.00 90.00
Fractional positions:
Be: 0.0000 0.0000 0.0000
Cu: 0.0000 0.5000 0.5000
Cu: 0.5000 0.0000 0.5000
S: 0.5000 0.5000 0.0000
N: 0.5000 0.5000 0.5000



Repeat the sixth record exactly.
A plane-wave DFT calculation with meta-GGA SCAN was carried out for a crystal of BeCu2SN relaxed with PBEsol.

The density of states at the Fermi level comes out at 2.84 states/eV/cell. Its uncorrected formation energy is 0.44 eV/atom. The density comes out at 3.91 Mg/m³. Its total energy is -10.2916 eV per atom. The total magnetic moment is 0.00 μB/atom.

a b c (Å): 3.4915 3.4915 6.3433
angles (deg): 90.00 90.00 90.00
Fractional positions:
Be: 0.0000 0.0000 0.0000
Cu: 0.0000 0.5000 0.5000
Cu: 0.5000 0.0000 0.5000
S: 0.5000 0.5000 0.0000
N: 0.5000 0.5000 0.5000



The lowest total energy belongs to which entry?
Ta3Te14Pd3